Entry w
The following is a PBE calculation of a relaxed structure of CaCrNi2, from the Alexandria database.

The calculated density comes out at 5.5 g/cm³. Its density of states at the Fermi level is 0.742 states/eV per atom.

Cell: 4.467 4.467 4.467 Å, 60.00 60.00 60.00°
Fractional coordinates of all 4 atoms:
1 Ca 0.000 0.000 0.000
2 Cr 0.250 0.250 0.250
3 Ni 0.500 0.500 0.500
4 Ni 0.750 0.750 0.750



Entry x
The following is a PBE calculation of a relaxed structure of CaCrNi2, from the Alexandria database.

The calculated density comes out at 5.6 g/cm³. Its density of states at the Fermi level is 0.668 states/eV per atom.

Cell: 4.503 4.503 3.036 Å, 90.00 90.00 90.13°
Fractional coordinates of all 4 atoms:
1 Ca 0.000 0.000 0.000
2 Cr 0.500 0.500 0.000
3 Ni 0.000 0.500 0.500
4 Ni 0.500 0.000 0.500



Q: Which of them is the least stable? A: entry w.



Entry w
The following is a PBE calculation of a relaxed structure of CaCrNi2, from the Alexandria database.

The calculated density comes out at 5.4 g/cm³. Its density of states at the Fermi level is 1.429 states/eV per atom.

Cell: 2.949 3.388 6.459 Å, 90.00 90.00 90.00°
Fractional coordinates of all 4 atoms:
1 Ca 0.000 0.000 0.000
2 Cr 0.500 0.500 0.357
3 Ni 0.000 0.000 0.512
4 Ni 0.500 0.500 0.716



Entry x
The following is a PBE calculation of a relaxed structure of CaCrNi2, from the Alexandria database.

The calculated density comes out at 4.7 g/cm³. Its density of states at the Fermi level is 0.955 states/eV per atom.

Cell: 4.110 4.110 5.583 Å, 111.90 111.90 60.11°
Fractional coordinates of all 4 atoms:
1 Ca 0.000 0.000 0.000
2 Cr 0.809 0.809 0.426
3 Ni 0.193 0.193 0.577
4 Ni 0.496 0.496 0.486



Q: Which of them is the least stable? A: entry w.



Entry w
The following is a PBE calculation of a relaxed structure of CaCrNi2, from the Alexandria database.

The calculated density comes out at 5.5 g/cm³. Its density of states at the Fermi level is 1.415 states/eV per atom.

Cell: 5.048 5.048 5.048 Å, 134.93 134.93 65.64°
Fractional coordinates of all 4 atoms:
1 Ca 0.000 0.000 0.000
2 Cr 0.250 0.750 0.500
3 Ni 0.500 0.500 0.000
4 Ni 0.750 0.250 0.500



Entry x
The following is a PBE calculation of a relaxed structure of CaCrNi2, from the Alexandria database.

The calculated density comes out at 5.5 g/cm³. Its density of states at the Fermi level is 1.129 states/eV per atom.

Cell: 5.422 5.422 5.422 Å, 147.72 130.88 60.01°
Fractional coordinates of all 4 atoms:
1 Ca 0.000 0.000 0.000
2 Cr 0.289 0.789 0.500
3 Ni 0.521 0.521 0.000
4 Ni 0.731 0.231 0.500



Q: Which of them is the least stable? A: entry w.



Entry w
The following is a PBE calculation of a relaxed structure of CaCrNi2, from the Alexandria database.

The calculated density comes out at 4.8 g/cm³. Its density of states at the Fermi level is 1.379 states/eV per atom.

Cell: 5.487 5.487 5.487 Å, 43.81 43.81 43.81°
Fractional coordinates of all 4 atoms:
1 Ca 0.000 0.000 0.000
2 Cr 0.500 0.500 0.500
3 Ni 0.195 0.195 0.195
4 Ni 0.805 0.805 0.805



Entry x
The following is a PBE calculation of a relaxed structure of CaCrNi2, from the Alexandria database.

The calculated density comes out at 5.2 g/cm³. Its density of states at the Fermi level is 1.024 states/eV per atom.

Cell: 3.185 4.070 5.366 Å, 90.00 106.79 90.00°
Fractional coordinates of all 4 atoms:
1 Ca 0.000 0.000 0.000
2 Cr 0.716 0.500 0.419
3 Ni 0.272 0.000 0.524
4 Ni 0.395 0.500 0.785



Entry y
The following is a PBE calculation of a relaxed structure of CaCrNi2, from the Alexandria database.

The calculated density comes out at 5.9 g/cm³. Its density of states at the Fermi level is 1.413 states/eV per atom.

Cell: 4.377 4.377 4.377 Å, 60.00 60.00 60.00°
Fractional coordinates of all 4 atoms:
1 Ca 0.000 0.000 0.000
2 Cr 0.500 0.500 0.500
3 Ni 0.250 0.250 0.250
4 Ni 0.750 0.750 0.750



Entry z
The following is a PBE calculation of a relaxed structure of CaCrNi2, from the Alexandria database.

The calculated density comes out at 5.6 g/cm³. Its density of states at the Fermi level is 0.928 states/eV per atom.

Cell: 3.003 3.082 6.692 Å, 90.00 90.00 90.00°
Fractional coordinates of all 4 atoms:
1 Ca 0.000 0.000 0.000
2 Cr 0.000 0.000 0.500
3 Ni 0.500 0.500 0.313
4 Ni 0.500 0.500 0.687



Q: Which of them is the least stable? A: entry y.



Entry w
The following is a PBE calculation of a relaxed structure of CaCrNi3, from the Alexandria database.

The calculated density comes out at 5.3 g/cm³. Its density of states at the Fermi level is 1.378 states/eV per atom.

Cell: 4.384 4.384 4.384 Å, 90.00 90.00 90.00°
Fractional coordinates of all 5 atoms:
1 Ca 0.000 0.000 0.000
2 Cr 0.500 0.500 0.500
3 Ni 0.000 0.500 0.500
4 Ni 0.500 0.000 0.500
5 Ni 0.500 0.500 0.000



Entry x
The following is a PBE calculation of a relaxed structure of CaCrNi3, from the Alexandria database.

The calculated density comes out at 5.1 g/cm³. Its density of states at the Fermi level is 2.001 states/eV per atom.

Cell: 4.441 4.441 4.441 Å, 90.00 90.00 90.00°
Fractional coordinates of all 5 atoms:
1 Ca 0.000 0.000 0.000
2 Cr 0.500 0.500 0.500
3 Ni 0.000 0.000 0.500
4 Ni 0.000 0.500 0.000
5 Ni 0.500 0.000 0.000



Q: Which of them is the least stable? A: entry x.



Entry w
The following is a PBE calculation of a relaxed structure of Ca2CrNi, from the Alexandria database.

The calculated density comes out at 3.5 g/cm³. Its density of states at the Fermi level is 0.711 states/eV per atom.

Cell: 5.700 5.700 5.700 Å, 135.12 135.12 65.35°
Fractional coordinates of all 4 atoms:
1 Ca 0.000 0.000 0.000
2 Ca 0.750 0.250 0.500
3 Cr 0.250 0.750 0.500
4 Ni 0.500 0.500 0.000



Entry x
The following is a PBE calculation of a relaxed structure of Ca2CrNi, from the Alexandria database.

The calculated density comes out at 3.4 g/cm³. Its density of states at the Fermi level is 0.785 states/eV per atom.

Cell: 3.555 3.555 7.409 Å, 90.00 90.00 90.00°
Fractional coordinates of all 4 atoms:
1 Ca 0.000 0.000 0.221
2 Ca 0.000 0.000 0.779
3 Cr 0.500 0.500 0.500
4 Ni 0.500 0.500 0.000



Q: Which of them is the least stable? A: entry w.



Entry w
The following is a PBE calculation of a relaxed structure of Ca2CrNi, from the Alexandria database.

The calculated density comes out at 3.2 g/cm³. Its density of states at the Fermi level is 0.738 states/eV per atom.

Cell: 4.092 5.933 5.933 Å, 44.08 90.00 90.00°
Fractional coordinates of all 4 atoms:
1 Ca 0.000 0.000 0.000
2 Ca 0.500 0.287 0.287
3 Cr 0.000 0.697 0.697
4 Ni 0.500 0.587 0.587



Entry x
The following is a PBE calculation of a relaxed structure of Ca2CrNi, from the Alexandria database.

The calculated density comes out at 3.4 g/cm³. Its density of states at the Fermi level is 0.850 states/eV per atom.

Cell: 6.150 6.150 6.150 Å, 147.19 131.45 59.84°
Fractional coordinates of all 4 atoms:
1 Ca 0.000 0.000 0.000
2 Ca 0.703 0.203 0.500
3 Cr 0.303 0.803 0.500
4 Ni 0.462 0.462 0.000



Entry y
The following is a PBE calculation of a relaxed structure of Ca2CrNi, from the Alexandria database.

The calculated density comes out at 3.3 g/cm³. Its density of states at the Fermi level is 0.943 states/eV per atom.

Cell: 3.375 3.375 8.332 Å, 90.00 90.00 90.00°
Fractional coordinates of all 4 atoms:
1 Ca 0.000 0.000 0.000
2 Ca 0.500 0.500 0.392
3 Cr 0.000 0.000 0.653
4 Ni 0.500 0.500 0.752



Q: Which of them is the least stable? A: entry x.



Entry w
The following is a PBE calculation of a relaxed structure of Ca2CrNi, from the Alexandria database.

The calculated density comes out at 3.2 g/cm³. Its density of states at the Fermi level is 0.626 states/eV per atom.

Cell: 6.466 6.466 6.466 Å, 102.50 102.50 124.55°
Fractional coordinates of all 8 atoms:
1 Ca 0.068 0.125 0.443
2 Ca 0.375 0.932 0.057
3 Ca 0.682 0.625 0.557
4 Ca 0.875 0.318 0.943
5 Cr 0.250 0.750 0.500
6 Cr 0.500 0.500 0.000
7 Ni 0.000 0.000 0.000
8 Ni 0.750 0.250 0.500



Entry x
The following is a PBE calculation of a relaxed structure of Ca2CrNi, from the Alexandria database.

The calculated density comes out at 3.6 g/cm³. Its density of states at the Fermi level is 1.121 states/eV per atom.

Cell: 4.976 4.976 4.976 Å, 60.00 60.00 60.00°
Fractional coordinates of all 4 atoms:
1 Ca 0.000 0.000 0.000
2 Ca 0.250 0.250 0.250
3 Cr 0.500 0.500 0.500
4 Ni 0.750 0.750 0.750



Q: Which of them is the least stable? A: entry w.



Entry w
The following is a PBE calculation of a relaxed structure of Ca2CrNi, from the Alexandria database.

The calculated density comes out at 3.0 g/cm³. Its density of states at the Fermi level is 0.397 states/eV per atom.

Cell: 9.063 9.063 9.063 Å, 23.59 23.59 23.59°
Fractional coordinates of all 4 atoms:
1 Ca 0.234 0.234 0.234
2 Ca 0.766 0.766 0.766
3 Cr 0.000 0.000 0.000
4 Ni 0.500 0.500 0.500



Entry x
The following is a PBE calculation of a relaxed structure of Ca2CrNi, from the Alexandria database.

The calculated density comes out at 3.4 g/cm³. Its density of states at the Fermi level is 0.811 states/eV per atom.

Cell: 5.086 5.086 5.086 Å, 60.00 60.00 60.00°
Fractional coordinates of all 4 atoms:
1 Ca 0.250 0.250 0.250
2 Ca 0.750 0.750 0.750
3 Cr 0.000 0.000 0.000
4 Ni 0.500 0.500 0.500



Q: Which of them is the least stable? A: entry w.



Entry w
The following is a PBE calculation of a relaxed structure of CaCr3Ni, from the Alexandria database.

The calculated density comes out at 4.1 g/cm³. Its density of states at the Fermi level is 1.049 states/eV per atom.

Cell: 4.695 4.695 4.695 Å, 90.00 90.00 90.00°
Fractional coordinates of all 5 atoms:
1 Ca 0.000 0.000 0.000
2 Cr 0.000 0.500 0.500
3 Cr 0.500 0.000 0.500
4 Cr 0.500 0.500 0.000
5 Ni 0.500 0.500 0.500



Entry x
The following is a PBE calculation of a relaxed structure of CaCr3Ni, from the Alexandria database.

The calculated density comes out at 5.7 g/cm³. Its density of states at the Fermi level is 1.355 states/eV per atom.

Cell: 4.213 4.213 4.213 Å, 90.00 90.00 90.00°
Fractional coordinates of all 5 atoms:
1 Ca 0.000 0.000 0.000
2 Cr 0.000 0.000 0.500
3 Cr 0.000 0.500 0.000
4 Cr 0.500 0.000 0.000
5 Ni 0.500 0.500 0.500



Q: Which of them is the least stable? A: entry x.



Entry w
The following is a PBE calculation of a relaxed structure of Ca2CrReNi, from the Alexandria database.

The calculated density comes out at 5.2 g/cm³. Its density of states at the Fermi level is 1.278 states/eV per atom.

Cell: 5.189 5.189 4.485 Å, 90.00 90.00 90.00°
Fractional coordinates of all 5 atoms:
1 Ca 0.000 0.500 0.000
2 Ca 0.500 0.000 0.000
3 Cr 0.000 0.000 0.500
4 Re 0.500 0.500 0.500
5 Ni 0.000 0.000 0.000



Entry x
The following is a PBE calculation of a relaxed structure of Ca2CrReNi, from the Alexandria database.

The calculated density comes out at 5.0 g/cm³. Its density of states at the Fermi level is 1.618 states/eV per atom.

Cell: 5.407 5.407 4.300 Å, 90.00 90.00 90.00°
Fractional coordinates of all 5 atoms:
1 Ca 0.000 0.500 0.000
2 Ca 0.500 0.000 0.000
3 Cr 0.000 0.000 0.000
4 Re 0.000 0.000 0.500
5 Ni 0.500 0.500 0.500



Q: Which of them is the least stable? A: entry x.